i.
PBE CaGa2S4, optimized geometry; N(E_F) = 0.000 states/eV/atom; crystal system = orthorhombic; magnetic moment = 0.0 μB per formula unit
1.0
-2.375 -1.399 -5.254
-2.414 -2.291 4.912
-6.268 8.071 0.684
Ga S Ca
4 8 2
direct
0.765 0.231 0.000
0.231 0.765 0.500
0.769 0.235 0.500
0.235 0.769 0.000
0.356 0.194 0.500
0.806 0.644 0.000
0.644 0.806 0.500
0.500 0.000 0.170
0.500 0.000 0.830
0.194 0.356 0.000
0.000 0.500 0.330
0.000 0.500 0.670
0.500 0.500 0.750
0.500 0.500 0.250

***

ii.
PBE CaGa2S4, optimized geometry; N(E_F) = 0.000 states/eV/atom; crystal system = monoclinic; magnetic moment = 0.0 μB per formula unit
1.0
27.368 0.000 0.000
0.000 6.911 0.001
0.000 2.421 6.896
S Ga Ca
32 16 8
direct
0.402 0.360 0.512
0.747 0.753 0.759
0.130 0.427 0.022
0.842 0.626 0.428
0.721 0.692 0.262
0.903 0.087 0.988
0.403 0.413 0.012
0.985 0.735 0.784
0.598 0.640 0.488
0.342 0.874 0.572
0.515 0.235 0.784
0.471 0.781 0.686
0.902 0.140 0.488
0.279 0.308 0.738
0.630 0.073 0.978
0.247 0.747 0.241
0.158 0.374 0.572
0.658 0.126 0.428
0.529 0.219 0.314
0.253 0.247 0.241
0.029 0.281 0.686
0.779 0.192 0.262
0.971 0.719 0.314
0.370 0.927 0.022
0.485 0.765 0.216
0.097 0.913 0.012
0.753 0.253 0.759
0.870 0.573 0.978
0.015 0.265 0.216
0.221 0.808 0.738
0.597 0.587 0.988
0.098 0.860 0.512
0.151 0.632 0.711
0.765 0.580 0.552
0.935 0.767 0.016
0.948 0.057 0.267
0.552 0.557 0.267
0.265 0.920 0.448
0.235 0.420 0.448
0.651 0.868 0.289
0.448 0.443 0.733
0.052 0.943 0.733
0.735 0.080 0.552
0.435 0.733 0.984
0.349 0.132 0.711
0.565 0.267 0.016
0.065 0.233 0.984
0.849 0.368 0.289
0.071 0.558 0.329
0.307 0.600 0.953
0.193 0.100 0.953
0.571 0.942 0.671
0.929 0.442 0.671
0.807 0.900 0.047
0.693 0.400 0.047
0.429 0.058 0.329

***

The structure with the least stability is i.

***

i.
PBE Ca2GaS, optimized geometry; N(E_F) = 0.935 states/eV/atom; crystal system = cubic; magnetic moment = 0.0 μB per formula unit
1.0
4.331 1.392 2.378
-0.141 3.512 3.741
0.820 -1.402 4.869
Ga S Ca
1 1 2
direct
0.500 0.500 0.500
0.000 0.000 0.000
0.250 0.250 0.250
0.750 0.750 0.750

***

ii.
PBE Ca2GaS, optimized geometry; N(E_F) = 0.407 states/eV/atom; crystal system = tetragonal; magnetic moment = 0.0 μB per formula unit
1.0
-2.075 -0.882 7.334
7.329 -1.192 1.930
3.092 2.779 5.222
Ca Ga S
4 2 2
direct
0.588 0.125 0.250
0.162 0.625 0.250
0.875 0.838 0.750
0.375 0.412 0.750
0.000 0.000 0.000
0.750 0.250 0.500
0.500 0.500 0.000
0.250 0.750 0.500

***

The structure with the least stability is i.

***

i.
PBE Ca2GaSb, optimized geometry; N(E_F) = 0.649 states/eV/atom; crystal system = cubic; magnetic moment = 0.0 μB per formula unit
1.0
0.000 3.789 3.789
3.789 0.000 3.789
3.789 3.789 0.000
Ca Ga Sb
2 1 1
direct
0.750 0.750 0.750
0.250 0.250 0.250
0.000 0.000 0.000
0.500 0.500 0.500

***

ii.
PBE Ca2GaSb, optimized geometry; N(E_F) = 0.365 states/eV/atom; crystal system = tetragonal; magnetic moment = 0.0 μB per formula unit
1.0
-1.903 2.855 2.583
-3.905 -3.074 0.522
2.196 -2.117 3.958
Ca Sb Ga
2 1 1
direct
0.000 0.000 0.500
0.000 0.500 0.000
0.500 0.500 0.500
0.500 0.000 0.000

***

iii.
PBE Ca2GaSb, optimized geometry; N(E_F) = 0.583 states/eV/atom; crystal system = tetragonal; magnetic moment = 0.0 μB per formula unit
1.0
8.305 0.000 0.000
0.000 8.305 0.000
4.153 4.153 3.494
Ca Ga Sb
4 2 2
direct
0.621 0.125 0.250
0.375 0.379 0.750
0.129 0.625 0.250
0.875 0.871 0.750
0.500 0.500 0.000
0.250 0.750 0.500
0.000 0.000 0.000
0.750 0.250 0.500

***

The structure with the least stability is iii.

***

i.
PBE CaGa2Sb2, optimized geometry; N(E_F) = 0.457 states/eV/atom; crystal system = tetragonal; magnetic moment = 0.0 μB per formula unit
1.0
-7.486 2.700 -0.579
-0.607 0.022 7.956
1.308 3.646 0.090
Ca Ga Sb
2 4 4
direct
0.500 0.500 0.000
0.000 0.000 0.000
0.878 0.622 0.000
0.622 0.122 0.000
0.122 0.378 0.000
0.378 0.878 0.000
0.670 0.830 0.500
0.830 0.330 0.500
0.330 0.170 0.500
0.170 0.670 0.500

***

ii.
PBE CaGa2Sb2, optimized geometry; N(E_F) = 0.553 states/eV/atom; crystal system = tetragonal; magnetic moment = 0.0 μB per formula unit
1.0
-3.341 3.936 1.410
-3.698 -3.624 1.353
-1.861 0.045 5.621
Ga Sb Ca
2 2 1
direct
0.638 0.638 0.725
0.362 0.362 0.275
0.250 0.750 0.500
0.750 0.250 0.500
0.000 0.000 0.000

***

iii.
PBE CaGa2Sb2, optimized geometry; N(E_F) = 0.478 states/eV/atom; crystal system = tetragonal; magnetic moment = 0.0 μB per formula unit
1.0
8.101 0.000 0.000
0.000 8.101 0.000
0.000 0.000 4.023
Ga Sb Ca
4 4 2
direct
0.153 0.653 0.500
0.847 0.347 0.500
0.653 0.847 0.500
0.347 0.153 0.500
0.867 0.633 0.000
0.133 0.367 0.000
0.633 0.133 0.000
0.367 0.867 0.000
0.000 0.000 0.000
0.500 0.500 0.000

***

The structure with the least stability is iii.

***

i.
PBE CaGa3Sb, optimized geometry; N(E_F) = 0.599 states/eV/atom; crystal system = cubic; magnetic moment = 0.0 μB per formula unit
1.0
-0.677 -0.533 5.289
1.593 -5.107 -0.310
5.071 1.533 0.803
Ga Ca Sb
3 1 1
direct
0.500 0.000 0.000
0.000 0.500 0.000
0.000 0.000 0.500
0.500 0.500 0.500
0.000 0.000 0.000

***

ii.
PBE CaGa3Sb, optimized geometry; N(E_F) = 0.627 states/eV/atom; crystal system = cubic; magnetic moment = 0.0 μB per formula unit
1.0
-0.696 5.371 0.923
-1.387 -1.074 5.206
5.270 0.426 1.492
Ga Sb Ca
3 1 1
direct
0.000 0.000 0.500
0.500 0.000 0.000
0.000 0.500 0.000
0.500 0.500 0.500
0.000 0.000 0.000

***

The structure with the least stability is ii.

***

i.
PBE Ca3GaSb, optimized geometry; N(E_F) = 1.185 states/eV/atom; crystal system = cubic; magnetic moment = 0.0 μB per formula unit
1.0
-2.373 4.748 -1.676
-5.002 -2.009 1.389
0.580 2.099 5.123
Ca Ga Sb
3 1 1
direct
0.000 0.500 0.000
0.500 0.000 0.000
0.000 0.000 0.500
0.000 0.000 0.000
0.500 0.500 0.500

***

ii.
PBE Ca3GaSb, optimized geometry; N(E_F) = 0.534 states/eV/atom; crystal system = triclinic; magnetic moment = 0.0 μB per formula unit
1.0
4.344 0.000 0.000
-2.173 8.194 -0.243
0.000 -0.569 8.773
Ca Ga Sb
6 2 2
direct
0.782 0.596 0.396
0.262 0.558 0.026
0.072 0.177 0.388
0.629 0.291 0.778
0.415 0.863 0.644
0.972 0.977 0.034
0.232 0.496 0.644
0.812 0.658 0.778
0.629 0.292 0.135
0.414 0.862 0.286

***

The structure with the least stability is i.

***

i.
PBE CaGaSb2Te, optimized geometry; N(E_F) = 1.189 states/eV/atom; crystal system = tetragonal; magnetic moment = 0.0 μB per formula unit
1.0
-2.519 -4.637 0.602
0.234 -0.808 -5.244
4.938 -2.602 0.621
Sb Ca Te Ga
2 1 1 1
direct
0.000 0.500 0.000
0.500 0.000 0.000
0.500 0.500 0.500
0.000 0.000 0.500
0.000 0.000 0.000

***

ii.
PBE CaGaSb2Te, optimized geometry; N(E_F) = 0.979 states/eV/atom; crystal system = tetragonal; magnetic moment = 0.0 μB per formula unit
1.0
-5.309 -2.295 -0.360
2.305 -5.315 -0.122
-0.281 -0.255 5.780
Ca Sb Te Ga
1 2 1 1
direct
0.000 0.000 0.000
0.500 0.000 0.000
0.000 0.500 0.000
0.000 0.000 0.500
0.500 0.500 0.500

***

The structure with the least stability is ii.

***

i.
PBE CaScGa, optimized geometry; N(E_F) = 0.563 states/eV/atom; crystal system = tetragonal; magnetic moment = 0.0 μB per formula unit
1.0
4.679 0.000 -0.001
0.000 4.678 0.000
0.003 0.000 7.215
Ga Sc Ca
2 2 2
direct
0.539 0.970 0.383
0.039 0.470 0.817
0.539 0.470 0.600
0.039 0.970 0.600
0.039 0.470 0.242
0.539 0.970 0.958

***

ii.
PBE CaScGa, optimized geometry; N(E_F) = 0.244 states/eV/atom; crystal system = cubic; magnetic moment = 0.0 μB per formula unit
1.0
-0.049 -1.565 4.647
-3.612 -2.925 1.565
0.922 -4.709 1.011
Ca Sc Ga
1 1 1
direct
0.750 0.750 0.750
0.250 0.250 0.250
0.000 0.000 0.000

***

iii.
PBE CaScGa, optimized geometry; N(E_F) = 0.772 states/eV/atom; crystal system = monoclinic; magnetic moment = 0.0 μB per formula unit
1.0
3.339 -0.006 -0.001
-1.659 6.784 -0.024
-0.002 -1.631 6.601
Ga Sc Ca
2 2 2
direct
0.240 0.883 0.402
0.244 0.890 0.799
0.589 0.583 0.533
0.893 0.190 0.668
0.608 0.619 0.033
0.875 0.154 0.168

***

iv.
PBE CaScGa, optimized geometry; N(E_F) = 0.000 states/eV/atom; crystal system = orthorhombic; magnetic moment = 0.0 μB per formula unit
1.0
-6.827 -0.576 3.370
0.805 -4.609 0.844
3.443 1.940 7.307
Sc Ca Ga
4 4 4
direct
0.153 0.250 0.422
0.653 0.250 0.078
0.347 0.750 0.922
0.847 0.750 0.578
0.516 0.250 0.684
0.484 0.750 0.316
0.016 0.250 0.816
0.984 0.750 0.184
0.716 0.750 0.901
0.784 0.250 0.401
0.216 0.750 0.599
0.284 0.250 0.099

***

The structure with the least stability is ii.